1.
# SrTmLu (GGA-PBE, optimized geometry)
data_SrTmLu
_space_group_name_H-M_alt 'F -4 3 m'
_space_group_IT_number 216
_space_group_name_Hall 'F -4 2 3'
_cell_length_a 8.007
_cell_length_b 8.007
_cell_length_c 8.007
_cell_angle_alpha 90.00
_cell_angle_beta 90.00
_cell_angle_gamma 90.00
loop_
_atom_site_label
_atom_site_fract_x
_atom_site_fract_y
_atom_site_fract_z
Sr1 0.000 0.000 0.000
Tm1 0.000 0.000 0.500
Lu1 0.250 0.250 0.250
# Theoretical density in g cm⁻³: 5.58
# Polymorph energy (0 for the lowest one) in eV/atom: 0.0000


2.
# SrYLu2 (GGA-PBE, optimized geometry)
data_SrYLu2
_space_group_name_H-M_alt 'F -4 3 m'
_space_group_IT_number 216
_space_group_name_Hall 'F -4 2 3'
_cell_length_a 8.190
_cell_length_b 8.190
_cell_length_c 8.190
_cell_angle_alpha 90.00
_cell_angle_beta 90.00
_cell_angle_gamma 90.00
loop_
_atom_site_label
_atom_site_fract_x
_atom_site_fract_y
_atom_site_fract_z
Sr1 0.000 0.000 0.000
Y1 0.250 0.250 0.250
Lu1 0.000 0.000 0.500
Lu2 0.250 0.250 0.750
# Theoretical density in g cm⁻³: 6.37
# Final energy in eV per atom: -4.015


What did the second record say?
# SrYLu2 (GGA-PBE, optimized geometry)
data_SrYLu2
_space_group_name_H-M_alt 'F -4 3 m'
_space_group_IT_number 216
_space_group_name_Hall 'F -4 2 3'
_cell_length_a 8.190
_cell_length_b 8.190
_cell_length_c 8.190
_cell_angle_alpha 90.00
_cell_angle_beta 90.00
_cell_angle_gamma 90.00
loop_
_atom_site_label
_atom_site_fract_x
_atom_site_fract_y
_atom_site_fract_z
Sr1 0.000 0.000 0.000
Y1 0.250 0.250 0.250
Lu1 0.000 0.000 0.500
Lu2 0.250 0.250 0.750
# Theoretical density in g cm⁻³: 6.37
# Final energy in eV per atom: -4.015


Q: Number 1 is which compound?
A: SrTmLu